Entry P
The following is a PBE calculation of a relaxed structure of Sm4Y3Er, from Alexandria via LeMat-Bulk.

Cell lengths 3.492, 6.775, 11.923 Å; angles 106.31, 98.42, 90.00 degrees
Fractional coordinates of all 8 atoms:
Y  0.000  0.500  0.000
Y  0.123  0.882  0.247
Y  0.877  0.118  0.753
Sm  0.740  0.239  0.480
Sm  0.260  0.761  0.520
Sm  0.124  0.369  0.248
Sm  0.876  0.631  0.752
Er  0.500  0.000  0.000

***

Entry Q
The following is a PBE calculation of a relaxed structure of Sm4Y3Er, from Alexandria via LeMat-Bulk.

Cell lengths 6.330, 7.327, 11.466 Å; angles 90.00, 90.00, 90.00 degrees
Fractional coordinates of all 16 atoms:
Sm  0.151  0.874  0.000
Sm  0.648  0.126  0.000
Sm  0.981  0.126  0.249
Sm  0.481  0.874  0.251
Sm  0.148  0.874  0.500
Sm  0.651  0.126  0.500
Sm  0.481  0.874  0.749
Sm  0.981  0.126  0.751
Y  0.647  0.624  0.000
Y  0.981  0.623  0.250
Y  0.481  0.377  0.250
Y  0.147  0.376  0.500
Y  0.481  0.377  0.750
Y  0.981  0.623  0.750
Er  0.146  0.377  0.000
Er  0.646  0.623  0.500

***

Of them, entry P has the lowest stability.

***

Entry P
The following is a PBE calculation of a relaxed structure of Sm7Y2Er3, from Alexandria via LeMat-Bulk.

Cell lengths 5.504, 6.247, 12.231 Å; angles 90.57, 90.00, 90.01 degrees
Fractional coordinates of all 12 atoms:
Sm  0.500  0.241  0.454
Sm  0.500  0.759  0.546
Sm  0.000  0.444  0.180
Sm  0.000  0.000  0.000
Sm  0.000  0.556  0.820
Sm  0.500  0.908  0.830
Sm  0.500  0.092  0.170
Y  0.500  0.615  0.277
Y  0.500  0.385  0.723
Er  0.500  0.500  0.000
Er  0.000  0.944  0.341
Er  0.000  0.056  0.659

***

Entry Q
The following is a PBE calculation of a relaxed structure of Sm7Y2Er3, from Alexandria via LeMat-Bulk.

Cell lengths 3.604, 5.830, 18.913 Å; angles 93.85, 90.00, 90.00 degrees
Fractional coordinates of all 12 atoms:
Sm  0.500  0.742  0.465
Sm  0.500  0.258  0.535
Sm  0.000  0.675  0.144
Sm  0.000  0.000  0.000
Sm  0.000  0.325  0.856
Sm  0.500  0.822  0.818
Sm  0.500  0.178  0.182
Y  0.500  0.705  0.297
Y  0.500  0.295  0.703
Er  0.500  0.500  0.000
Er  0.000  0.218  0.369
Er  0.000  0.782  0.631

***

Of them, entry P has the lowest stability.